(1)
This record from Alexandria describes crystalline LiSiBr2 at its relaxed geometry. The functional is PBE.

**Calculated total energy**: -3.039 eV per atom
**Energy above the lowest structure with this stoichiometry**: 88 meV/atom
**Raw formation energy**: -0.37 eV per atom
**Fermi-level density of states**: 0.533 states/eV per atom
**Theoretical density**: 3.375 g/cm³

Lattice parameters (Å, degrees): 3.702 4.341 5.965 90.00 90.00 90.00
Fractional positions:
Si (0.500, 0.500, 0.867)
Br (0.000, 0.000, 0.861)
Br (0.500, 0.500, 0.366)
Li (0.000, 0.000, 0.406)

***

(2)
This record from Alexandria describes crystalline LiSiBr2 at its relaxed geometry. The functional is PBE.

**Calculated total energy**: -3.068 eV per atom
**Energy above the lowest structure with this stoichiometry**: 60 meV/atom
**Raw formation energy**: -0.40 eV per atom
**Fermi-level density of states**: 0.356 states/eV per atom
**Theoretical density**: 3.245 g/cm³

Lattice parameters (Å, degrees): 3.784 3.598 7.548 104.01 90.00 90.00
Fractional positions:
Li (0.500, 0.250, 0.250)
Br (0.000, 0.857, 0.028)
Br (0.000, 0.643, 0.472)
Si (0.500, 0.750, 0.750)

***

(3)
This record from Alexandria describes crystalline Li2SiBr at its relaxed geometry. The functional is PBE.

**Calculated total energy**: -2.496 eV per atom
**Energy above the lowest structure with this stoichiometry**: 672 meV/atom
**Raw formation energy**: 0.23 eV per atom
**Fermi-level density of states**: 1.003 states/eV per atom
**Theoretical density**: 2.355 g/cm³

Lattice parameters (Å, degrees): 4.953 4.953 4.953 60.00 60.00 60.00
Site moments in Bohr magnetons follow the coordinates.
Fractional positions:
Li (0.250, 0.250, 0.250)  0.01
Li (0.000, 0.000, 0.000)  0.04
Br (0.500, 0.500, 0.500)  0.11
Si (0.750, 0.750, 0.750)  0.19

***

- Which formula does entry 1 have?
  LiSiBr2

***

Copy entry 2 word for word.
This record from Alexandria describes crystalline LiSiBr2 at its relaxed geometry. The functional is PBE.

**Calculated total energy**: -3.068 eV per atom
**Energy above the lowest structure with this stoichiometry**: 60 meV/atom
**Raw formation energy**: -0.40 eV per atom
**Fermi-level density of states**: 0.356 states/eV per atom
**Theoretical density**: 3.245 g/cm³

Lattice parameters (Å, degrees): 3.784 3.598 7.548 104.01 90.00 90.00
Fractional positions:
Li (0.500, 0.250, 0.250)
Br (0.000, 0.857, 0.028)
Br (0.000, 0.643, 0.472)
Si (0.500, 0.750, 0.750)

***

What did the third record say?
This record from Alexandria describes crystalline Li2SiBr at its relaxed geometry. The functional is PBE.

**Calculated total energy**: -2.496 eV per atom
**Energy above the lowest structure with this stoichiometry**: 672 meV/atom
**Raw formation energy**: 0.23 eV per atom
**Fermi-level density of states**: 1.003 states/eV per atom
**Theoretical density**: 2.355 g/cm³

Lattice parameters (Å, degrees): 4.953 4.953 4.953 60.00 60.00 60.00
Site moments in Bohr magnetons follow the coordinates.
Fractional positions:
Li (0.250, 0.250, 0.250)  0.01
Li (0.000, 0.000, 0.000)  0.04
Br (0.500, 0.500, 0.500)  0.11
Si (0.750, 0.750, 0.750)  0.19